[1]
A plane-wave DFT calculation with PBE-GGA was carried out for crystalline Ca2HoBr at its relaxed geometry.

Volume ... 32.455 Å³/atom
E_form (uncorrected) ... -0.63 eV per atom

Unit cell a=3.7891 b=3.7891 c=10.6677 alpha=79.77 beta=79.77 gamma=60.00
Element x y z (fractional)
1 Ho 0.5000 0.5000 0.5000
2 Ca 0.2605 0.2605 0.2184
3 Ca 0.7395 0.7395 0.7816
4 Br 0.0000 0.0000 0.0000

[2]
A plane-wave DFT calculation with PBE-GGA was carried out for crystalline Te2AuC at its relaxed geometry.

Volume ... 30.238 Å³/atom
E_form (uncorrected) ... 0.95 eV per atom

Unit cell a=7.2260 b=7.2260 c=7.2260 alpha=36.75 beta=36.75 gamma=36.75
Element x y z (fractional)
1 C 0.0000 0.0000 0.0000
2 Au 0.5000 0.5000 0.5000
3 Te 0.0966 0.0966 0.0966
4 Te 0.9034 0.9034 0.9034

[3]
A plane-wave DFT calculation with PBE-GGA was carried out for crystalline YV2CdGe at its relaxed geometry.

Volume ... 21.686 Å³/atom
DFT formation energy ... 0.589 eV per atom

Unit cell a=4.6832 b=4.9440 c=4.6832 alpha=90.00 beta=90.00 gamma=90.00
Element x y z (fractional)
1 Cd 0.0000 0.5000 0.0000
2 V 0.5000 0.0000 0.0000
3 V 0.0000 0.0000 0.5000
4 Ge 0.0000 0.0000 0.0000
5 Y 0.5000 0.5000 0.5000

[4]
A plane-wave DFT calculation with PBE-GGA was carried out for crystalline Pm3Ga3Ag2 at its relaxed geometry.

Volume ... 23.364 Å³/atom
DFT formation energy ... -0.499 eV per atom

Unit cell a=4.5551 b=5.8661 c=15.1809 alpha=90.00 beta=90.00 gamma=112.85
Element x y z (fractional)
1 Ag 0.7981 0.5962 0.5981
2 Ga 0.6037 0.2075 0.4592
3 Pm 0.3693 0.7387 0.7500
4 Ga 0.3963 0.7925 0.5408
5 Pm 0.0973 0.1945 0.6085
6 Ga 0.3963 0.7925 0.9592
7 Pm 0.9027 0.8055 0.1085
8 Ag 0.2019 0.4038 0.0981
9 Pm 0.0973 0.1945 0.8915
10 Pm 0.6307 0.2613 0.2500
11 Ga 0.6037 0.2075 0.0408
12 Pm 0.9027 0.8055 0.3915
13 Ag 0.7981 0.5962 0.9019
14 Ga 0.6557 0.3114 0.7500
15 Ag 0.2019 0.4038 0.4019
16 Ga 0.3443 0.6886 0.2500

[5]
A plane-wave DFT calculation with PBE-GGA was carried out for crystalline Li2LaFeBi at its relaxed geometry.

Volume ... 23.735 Å³/atom
DFT formation energy ... 0.070 eV per atom

Unit cell a=4.8524 b=5.0403 c=4.8524 alpha=90.00 beta=90.00 gamma=90.00
Each line ends with the local moment (μB).
Element x y z (fractional)
1 Fe 0.0000 0.0000 0.0000  2.21
2 La 0.5000 0.5000 0.5000  -0.08
3 Li 0.5000 0.0000 0.0000  -0.06
4 Bi 0.0000 0.5000 0.0000  -0.01
5 Li 0.0000 0.0000 0.5000  -0.04

[6]
A plane-wave DFT calculation with PBE-GGA was carried out for crystalline KTc2IBr at its relaxed geometry.

Volume ... 39.025 Å³/atom
E_form (uncorrected) ... 1.93 eV per atom

Unit cell a=5.9305 b=5.5479 c=5.9305 alpha=90.00 beta=90.00 gamma=90.00
Each line ends with the local moment (μB).
Element x y z (fractional)
1 Br 0.0000 0.5000 0.0000  0.08
2 Tc 0.5000 0.0000 0.0000  3.75
3 I 0.5000 0.5000 0.5000  0.06
4 K 0.0000 0.0000 0.0000  0.03
5 Tc 0.0000 0.0000 0.5000  3.49

[7]
A plane-wave DFT calculation with PBE-GGA was carried out for crystalline In2SbCl at its relaxed geometry.

Volume ... 27.727 Å³/atom
E_form (uncorrected) ... -0.11 eV per atom
Excess energy over the best structure of this formula in the dataset ... 6.34 kcal/mol of atoms

Unit cell a=7.0189 b=7.0189 c=7.0189 alpha=151.83 beta=136.94 gamma=52.25
Element x y z (fractional)
1 In 0.9627 0.9627 0.0000
2 In 0.5373 0.5373 0.0000
3 Cl 0.2500 0.7500 0.5000
4 Sb 0.7500 0.2500 0.5000

[8]
A plane-wave DFT calculation with PBE-GGA was carried out for crystalline Pr4NdEr at its relaxed geometry.

Volume ... 35.185 Å³/atom
DFT formation energy ... 0.017 eV per atom
Excess energy over the best structure of this formula in the dataset ... 0.00 kcal/mol of atoms

Unit cell a=8.2293 b=8.2293 c=5.1910 alpha=90.04 beta=90.04 gamma=36.91
Element x y z (fractional)
1 Pr 0.3345 0.3345 0.0000
2 Pr 0.1647 0.1647 0.5000
3 Nd 0.5000 0.5000 0.5000
4 Pr 0.6655 0.6655 0.0000
5 Er 0.0000 0.0000 0.0000
6 Pr 0.8353 0.8353 0.5000